Run P
A relaxed structure of Mn3AgAs. Source: the Alexandria database, functional GGA-PBE.

Computed properties:
**Calculated volume**: 22.7 Å³ per atom
**M_tot**: 2.51 μB/atom
**Symmetry**: Pm-3m (221)

```
data_Mn3AgAs
_space_group_name_H-M_alt 'P 1'
_space_group_IT_number 1
_space_group_name_Hall 'P 1'
_cell_length_a 4.843
_cell_length_b 4.843
_cell_length_c 4.843
_cell_angle_alpha 90.00
_cell_angle_beta 90.00
_cell_angle_gamma 90.00
loop_
_atom_site_label
_atom_site_fract_x
_atom_site_fract_y
_atom_site_fract_z
_atom_site_occupancy
As1 0.500 0.500 0.500 1
Mn1 0.000 0.500 0.000 1
Mn2 0.000 0.000 0.500 1
Mn3 0.500 0.000 0.000 1
Ag1 0.000 0.000 0.000 1
```


Run Q
A relaxed structure of Mn3AgAs. Source: the Alexandria database, functional GGA-PBE.

Computed properties:
**Calculated volume**: 19.1 Å³ per atom
**M_tot**: 2.11 μB/atom
**Symmetry**: Pm-3m (221)

```
data_Mn3AgAs
_space_group_name_H-M_alt 'P 1'
_space_group_IT_number 1
_space_group_name_Hall 'P 1'
_cell_length_a 4.571
_cell_length_b 4.571
_cell_length_c 4.571
_cell_angle_alpha 90.00
_cell_angle_beta 90.00
_cell_angle_gamma 90.00
loop_
_atom_site_label
_atom_site_fract_x
_atom_site_fract_y
_atom_site_fract_z
_atom_site_occupancy
As1 0.000 0.000 0.000 1
Mn1 0.000 0.500 0.000 1
Mn2 0.000 0.000 0.500 1
Mn3 0.500 0.000 0.000 1
Ag1 0.500 0.500 0.500 1
```


Out of the structures above, which one is the most stable? Solution: run Q.